# ErTm14Pu

A relaxed ErTm14Pu crystal (PBE-GGA, Alexandria).

## Properties
SG: P4/mmm, No. 123
energy relative to the elements: 0.63 eV per formula unit
crystal system: tetragonal

a b c (Å): 6.9590 6.9590 9.8197
angles (deg): 90.00 90.00 89.98
Closest atoms and distances in Å follow each position.
Atoms (fractional coordinates):
Er (0.6250, 0.3750, 0.5000)  12 Tm 3.47-3.48
Tm (0.1250, 0.8750, 0.0000)  12 Tm 3.48
Tm (0.6250, 0.3750, 0.0000)  12 Tm 3.48-3.50
Tm (0.1248, 0.3749, 0.5000)  8 Tm 3.46-3.47, 2 Pu 3.48, 2 Er 3.48
Tm (0.1252, 0.3751, 0.0000)  12 Tm 3.48-3.49
Tm (0.6251, 0.8752, 0.5000)  8 Tm 3.46-3.47, 2 Pu 3.48, 2 Er 3.48
Tm (0.6249, 0.8748, 0.0000)  12 Tm 3.48-3.49
Tm (0.3735, 0.1235, 0.7485)  1 Pu 3.45, 10 Tm 3.46-3.50, 1 Er 3.48
Tm (0.3735, 0.1235, 0.2515)  1 Pu 3.45, 10 Tm 3.46-3.50, 1 Er 3.48
Tm (0.8765, 0.6265, 0.7485)  1 Pu 3.45, 10 Tm 3.46-3.50, 1 Er 3.48
Tm (0.8765, 0.6265, 0.2515)  1 Pu 3.45, 10 Tm 3.46-3.50, 1 Er 3.48
Tm (0.3736, 0.6264, 0.7484)  1 Pu 3.45, 10 Tm 3.46-3.50, 1 Er 3.47
Tm (0.3736, 0.6264, 0.2516)  1 Pu 3.45, 10 Tm 3.46-3.50, 1 Er 3.47
Tm (0.8763, 0.1237, 0.7486)  1 Pu 3.46, 10 Tm 3.46-3.50, 1 Er 3.48
Tm (0.8763, 0.1237, 0.2514)  1 Pu 3.46, 10 Tm 3.46-3.50, 1 Er 3.48
Pu (0.1250, 0.8750, 0.5000)  12 Tm 3.45-3.48

---

# Rb5H3F2

A relaxed Rb5H3F2 crystal (PBE-GGA, Alexandria).

## Properties
SG: C2/m, No. 12
E: -0.111 hartree per atom
crystal system: monoclinic

a b c (Å): 4.1671 7.2220 9.3252
angles (deg): 97.27 77.09 73.23
Closest atoms and distances in Å follow each position.
Atoms (fractional coordinates):
Rb (0.0000, 0.0000, 0.0000)  2 H 2.93, 4 F 2.93
Rb (0.2033, 0.1993, 0.3941)  1 F 2.90, 5 H 2.96-3.02
Rb (0.7967, 0.8007, 0.6059)  1 F 2.90, 5 H 2.96-3.02
Rb (0.6107, 0.5879, 0.1907)  3 F 2.89-2.90, 3 H 2.98-3.00
Rb (0.3893, 0.4121, 0.8093)  3 F 2.89-2.90, 3 H 2.98-3.00
H (0.5000, 0.5000, 0.5000)  6 Rb 2.96-3.00
H (0.9052, 0.8936, 0.2959)  6 Rb 2.93-3.02
H (0.0948, 0.1064, 0.7041)  6 Rb 2.93-3.02
F (0.3026, 0.2968, 0.0981)  6 Rb 2.89-2.93
F (0.6974, 0.7032, 0.9019)  6 Rb 2.89-2.93